LiCuNi3 (GGA-PBE, relaxed); DOS at the Fermi energy = 13.45 states/eV/cell; total magnetization = 0.295 μB/atom; crystal system = trigonal; formation energy from the elements = 0.084 eV per atom; offset from the most stable computed form = 61.7 meV/atom
1.0
-4.606 1.541 0.138
-2.985 -1.574 3.496
-0.890 4.582 4.680
Li Cu Ni
2 2 6
Cartesian
-1.255 3.560 3.908
-7.226 0.989 4.406
-3.423 4.561 5.883
-5.057 -0.012 2.431
-2.925 2.211 5.251
-3.750 3.795 3.543
-3.213 1.554 2.993
-4.731 0.754 4.771
-5.555 2.338 3.063
-5.268 2.995 5.321